Co2SbF: relaxed, GGA+U.

POSCAR file:
```
Co2SbF
1.0
6.065 0.000 0.000
0.000 6.065 0.000
0.000 0.000 6.065
Co Sb F
8 4 4
Direct
0.250 0.250 0.250
0.250 0.250 0.750
0.250 0.750 0.250
0.250 0.750 0.750
0.750 0.250 0.250
0.750 0.250 0.750
0.750 0.750 0.250
0.750 0.750 0.750
0.000 0.000 0.000
0.000 0.500 0.500
0.500 0.000 0.500
0.500 0.500 0.000
0.000 0.000 0.500
0.000 0.500 0.000
0.500 0.000 0.000
0.500 0.500 0.500
```

E, eV/atom: -3.6618